[1]
Compound: Tl6Cd2Sn
Source: Alexandria
Functional: PBE
Structure: optimized geometry

Cell: 3.4603 3.4603 25.3342 Å, 90.00 90.00 120.00°
Space group P-6m2 (No. 187)
Inequivalent atoms, fractional coordinates:
Tl  0.0000  0.0000  0.0637 [2 per cell]
Tl  0.0000  0.0000  0.2722 [2 per cell]
Tl  0.3333  0.6667  0.3899 [2 per cell]
Cd  0.3333  0.6667  0.1681 [2 per cell]
Sn  0.0000  0.0000  0.5000 [1 per cell]

The calculation puts the energy relative to the lowest polymorph listed for this composition at 0.000 eV/f.u. As for the magnetic moment: 0.000 μB per formula unit. Its formation energy is 0.032 eV per atom.


[2]
Compound: BaVTeSe2
Source: Alexandria
Functional: PBE
Structure: optimized geometry

Cell: 4.9442 4.9442 5.7181 Å, 90.00 90.00 90.00°
Space group P4/mmm (No. 123)
Inequivalent atoms, fractional coordinates:
Ba  0.0000  0.0000  0.0000 [1 per cell]
V  0.5000  0.5000  0.5000 [1 per cell]
Te  0.5000  0.5000  0.0000 [1 per cell]
Se  0.0000  0.5000  0.5000 [2 per cell]

The calculation puts the energy relative to the lowest polymorph listed for this composition at 0.000 eV/f.u. As for the magnetic moment: 1.102 μB per formula unit. The value obtained for the uncorrected formation energy is -0.9148 eV/atom.


[3]
Compound: InCoRe2
Source: Alexandria
Functional: PBE
Structure: optimized geometry

Cell: 7.3710 7.3710 4.9302 Å, 90.00 90.00 90.00°
Space group I-42d (No. 122)
Inequivalent atoms, fractional coordinates:
In  0.0000  0.0000  0.0000 [4 per cell]
Co  0.0000  0.0000  0.5000 [4 per cell]
Re  0.1846  0.2500  0.6250 [8 per cell]

As for the magnetic moment: 0.001 μB per formula unit. Its formation energy is 0.859 eV per atom.


Question: What is the magnetic moment in the second record?
Answer: 1.102 μB per formula unit


Question: Which formula does entry 3 have?
Answer: InCoRe2


Question: Look up the magnetic moment of the third one.
Answer: 0.001 μB per formula unit